1.
This record from Alexandria via LeMat-Bulk describes a relaxed structure of CuTcCl. The functional is PBE.

a b c (Å): 6.643 6.643 6.643
angles (deg): 154.78 154.78 35.96
Each line ends with the local moment (μB).
Fractional coordinates of all 3 atoms:
Tc (0.666, 0.666, 0.000)  0.68
Cu (0.292, 0.292, 0.000)  0.10
Cl (0.042, 0.042, 0.000)  0.03

Values from the calculation:
- Space-group type: I4mm (107)

---

2.
This record from Alexandria via LeMat-Bulk describes a relaxed structure of Cu3TcCl. The functional is PBE.

a b c (Å): 4.734 4.734 4.734
angles (deg): 90.00 90.00 90.00
Each line ends with the local moment (μB).
Fractional coordinates of all 5 atoms:
Tc (0.000, 0.000, 0.000)  1.26
Cu (0.000, 0.500, 0.000)  0.06
Cu (0.000, 0.000, 0.500)  0.19
Cu (0.500, 0.000, 0.000)  0.02
Cl (0.500, 0.500, 0.500)  0.04

Values from the calculation:
- Space-group type: Pm-3m (221)

---

3.
This record from Alexandria via LeMat-Bulk describes a relaxed structure of CuTcCl6. The functional is PBE.

a b c (Å): 6.082 6.088 6.528
angles (deg): 62.11 62.14 60.04
Each line ends with the local moment (μB).
Fractional coordinates of all 8 atoms:
Cu (0.500, 0.500, 0.500)  -0.20
Tc (0.000, 0.000, 0.000)  1.76
Cl (0.091, 0.395, 0.754)  0.03
Cl (0.760, 0.091, 0.754)  0.03
Cl (0.605, 0.240, 0.245)  0.03
Cl (0.240, 0.909, 0.246)  0.03
Cl (0.909, 0.605, 0.246)  0.03
Cl (0.395, 0.760, 0.755)  0.03

Values from the calculation:
- Space-group type: P-1 (2)

---

Distance to the lowest polymorph of the same formula, record by record: 0.138 0.103 0.038 eV/atom
Formation energy without anion corrections, record by record: 0.496 1.377 -0.539 eV/atom